1.
{"formula": "Tl6CdHg3", "functional": "PBE", "state": "relaxed", "lattice": [[3.426, 0.000, 0.000], [0.000, 13.275, -2.016], [0.000, -6.336, 13.987]], "species": ["Hg", "Hg", "Hg", "Hg", "Hg", "Hg", "Tl", "Tl", "Tl", "Tl", "Tl", "Tl", "Tl", "Tl", "Tl", "Tl", "Tl", "Tl", "Cd", "Cd"], "fractional_positions": [[0.750, 0.384, 0.923], [0.750, 0.593, 0.460], [0.250, 0.902, 0.806], [0.750, 0.098, 0.194], [0.250, 0.616, 0.077], [0.250, 0.407, 0.540], [0.250, 0.844, 0.574], [0.250, 0.400, 0.125], [0.250, 0.345, 0.308], [0.750, 0.600, 0.875], [0.250, 0.140, 0.805], [0.750, 0.860, 0.195], [0.750, 0.655, 0.692], [0.750, 0.156, 0.426], [0.750, 0.669, 0.298], [0.250, 0.865, 0.992], [0.250, 0.331, 0.702], [0.750, 0.135, 0.008], [0.750, 0.082, 0.597], [0.250, 0.918, 0.403]], "formation_enthalpy_0k_ev_per_atom": 0.02, "final_energy_ev_per_atom": -1.59, "relative_energy_kj_per_mol_atoms": 0.00, "crystal_system": "monoclinic", "magmom_total_mub_per_cell": 0.00}

---

2.
{"formula": "CaTbNdHo", "functional": "PBE", "state": "relaxed", "lattice": [[5.791, 0.000, 0.000], [2.896, 5.016, 0.000], [2.896, 1.672, 4.729]], "species": ["Nd", "Ca", "Ho", "Tb"], "fractional_positions": [[0.250, 0.250, 0.250], [0.500, 0.500, 0.500], [0.000, 0.000, 0.000], [0.750, 0.750, 0.750]], "formation_enthalpy_0k_ev_per_atom": 0.14, "final_energy_ev_per_atom": -3.86, "crystal_system": "cubic", "magmom_total_mub_per_cell": 0.00}

---

3.
{"formula": "TlCdTeN2", "functional": "PBE", "state": "relaxed", "lattice": [[-3.542, -2.163, -1.492], [1.563, -3.748, 1.721], [-3.086, 1.247, 5.520]], "species": ["Cd", "N", "N", "Tl", "Te"], "fractional_positions": [[0.500, 0.500, 0.500], [0.500, 0.000, 0.000], [0.000, 0.500, 0.000], [0.000, 0.000, 0.000], [0.000, 0.000, 0.500]], "final_energy_ev_per_atom": -3.04, "relative_energy_kj_per_mol_atoms": 9.91, "crystal_system": "tetragonal", "e_form_raw_ev_per_fu": 7.863, "magmom_total_mub_per_cell": 3.18}

---

4.
{"formula": "Hf4GaCu", "functional": "PBE", "state": "relaxed", "lattice": [[-3.841, 1.409, 3.221], [-4.061, -4.412, -2.912], [1.941, -4.660, 4.353]], "species": ["Hf", "Hf", "Hf", "Hf", "Hf", "Hf", "Hf", "Hf", "Ga", "Ga", "Cu", "Cu"], "fractional_positions": [[0.500, 0.159, 0.348], [0.500, 0.652, 0.159], [0.000, 0.841, 0.348], [0.000, 0.348, 0.159], [0.000, 0.652, 0.841], [0.500, 0.841, 0.652], [0.500, 0.348, 0.841], [0.000, 0.159, 0.652], [0.250, 0.000, 0.000], [0.750, 0.000, 0.000], [0.750, 0.500, 0.500], [0.250, 0.500, 0.500]], "formation_enthalpy_0k_ev_per_atom": -0.23, "final_energy_ev_per_atom": -8.06, "crystal_system": "tetragonal", "magmom_total_mub_per_cell": 0.00}

---

5.
{"formula": "CrNiSe2", "functional": "PBE", "state": "relaxed", "lattice": [[-0.910, -2.887, -0.464], [0.985, -0.761, 2.798], [-5.460, 1.353, 2.290]], "species": ["Se", "Se", "Ni", "Cr"], "fractional_positions": [[0.000, 0.000, 0.491], [0.000, 0.000, 0.009], [0.500, 0.500, 0.750], [0.500, 0.500, 0.250]], "final_energy_ev_per_atom": -5.49, "relative_energy_kj_per_mol_atoms": 44.22, "crystal_system": "tetragonal", "e_form_raw_ev_per_fu": 0.414, "magmom_total_mub_per_cell": 0.00}

---

6.
{"formula": "SmMg2Au2", "functional": "PBE", "state": "relaxed", "lattice": [[-3.569, 2.063, 0.369], [-1.816, -3.408, 1.490], [4.337, 2.437, 5.110]], "species": ["Au", "Au", "Mg", "Mg", "Sm"], "fractional_positions": [[0.392, 0.392, 0.784], [0.608, 0.608, 0.216], [0.250, 0.750, 0.500], [0.750, 0.250, 0.500], [0.000, 0.000, 0.000]], "formation_enthalpy_0k_ev_per_atom": -0.63, "final_energy_ev_per_atom": -3.52, "relative_energy_kj_per_mol_atoms": 0.00, "crystal_system": "tetragonal", "magmom_total_mub_per_cell": 0.00}

---

7.
{"formula": "Na2Al3PtAu12", "functional": "PBE", "state": "relaxed", "lattice": [[-0.543, -0.554, 7.820], [-7.202, -1.902, 2.505], [-0.559, -7.403, 2.577]], "species": ["Al", "Al", "Al", "Au", "Au", "Au", "Au", "Au", "Au", "Au", "Au", "Au", "Au", "Au", "Au", "Na", "Na", "Pt"], "fractional_positions": [[0.500, 0.000, 0.000], [0.000, 0.000, 0.500], [0.000, 0.500, 0.000], [0.105, 0.637, 0.637], [0.146, 0.146, 0.616], [0.363, 0.895, 0.363], [0.895, 0.363, 0.363], [0.854, 0.384, 0.854], [0.363, 0.363, 0.895], [0.637, 0.105, 0.637], [0.854, 0.854, 0.384], [0.146, 0.616, 0.146], [0.384, 0.854, 0.854], [0.637, 0.637, 0.105], [0.616, 0.146, 0.146], [0.401, 0.401, 0.401], [0.599, 0.599, 0.599], [0.000, 0.000, 0.000]], "formation_enthalpy_0k_ev_per_atom": -0.01, "final_energy_ev_per_atom": -3.30, "crystal_system": "trigonal", "magmom_total_mub_per_cell": 0.00}

---

8.
{"formula": "Ta12Ge3Mo5", "functional": "PBE", "state": "relaxed", "lattice": [[13.137, 0.000, 0.000], [-4.379, 12.386, 0.000], [-4.379, -6.193, 10.726]], "species": ["Ta", "Ta", "Ta", "Ta", "Ta", "Ta", "Ta", "Ta", "Ta", "Ta", "Ta", "Ta", "Ta", "Ta", "Ta", "Ta", "Ta", "Ta", "Ta", "Ta", "Ta", "Ta", "Ta", "Ta", "Ta", "Ta", "Ta", "Ta", "Ta", "Ta", "Ta", "Ta", "Ta", "Ta", "Ta", "Ta", "Ta", "Ta", "Ta", "Ta", "Ta", "Ta", "Ta", "Ta", "Ta", "Ta", "Ta", "Ta", "Mo", "Mo", "Mo", "Mo", "Mo", "Mo", "Mo", "Mo", "Mo", "Mo", "Mo", "Mo", "Mo", "Mo", "Mo", "Mo", "Mo", "Mo", "Mo", "Mo", "Ge", "Ge", "Ge", "Ge", "Ge", "Ge", "Ge", "Ge", "Ge", "Ge", "Ge", "Ge"], "fractional_positions": [[0.163, 0.084, 0.724], [0.921, 0.837, 0.561], [0.859, 0.584, 0.921], [0.359, 0.421, 0.084], [0.084, 0.921, 0.359], [0.276, 0.416, 0.837], [0.837, 0.916, 0.276], [0.859, 0.276, 0.439], [0.939, 0.359, 0.276], [0.641, 0.061, 0.224], [0.421, 0.359, 0.584], [0.837, 0.921, 0.061], [0.416, 0.141, 0.579], [0.561, 0.224, 0.141], [0.079, 0.916, 0.141], [0.776, 0.337, 0.916], [0.421, 0.061, 0.337], [0.939, 0.579, 0.163], [0.079, 0.163, 0.439], [0.061, 0.641, 0.724], [0.776, 0.439, 0.359], [0.921, 0.084, 0.859], [0.916, 0.079, 0.641], [0.276, 0.859, 0.939], [0.724, 0.584, 0.163], [0.084, 0.163, 0.224], [0.439, 0.776, 0.859], [0.663, 0.439, 0.579], [0.061, 0.421, 0.837], [0.561, 0.337, 0.921], [0.416, 0.276, 0.337], [0.141, 0.724, 0.561], [0.916, 0.837, 0.776], [0.439, 0.663, 0.079], [0.224, 0.663, 0.084], [0.584, 0.724, 0.663], [0.359, 0.939, 0.776], [0.579, 0.641, 0.416], [0.337, 0.561, 0.421], [0.579, 0.939, 0.663], [0.584, 0.859, 0.421], [0.163, 0.079, 0.939], [0.224, 0.561, 0.641], [0.724, 0.141, 0.061], [0.663, 0.224, 0.584], [0.141, 0.416, 0.079], [0.641, 0.579, 0.916], [0.337, 0.776, 0.416], [0.750, 0.125, 0.875], [0.125, 0.750, 0.375], [0.875, 0.625, 0.750], [0.250, 0.875, 0.125], [0.500, 0.000, 0.500], [0.000, 0.500, 0.500], [0.250, 0.375, 0.625], [0.500, 0.500, 0.000], [0.125, 0.375, 0.250], [0.750, 0.625, 0.375], [0.625, 0.750, 0.875], [0.000, 0.000, 0.000], [0.000, 0.500, 0.000], [0.500, 0.000, 0.000], [0.500, 0.500, 0.500], [0.375, 0.250, 0.125], [0.625, 0.875, 0.250], [0.000, 0.000, 0.500], [0.875, 0.250, 0.625], [0.375, 0.125, 0.750], [0.375, 0.625, 0.250], [0.625, 0.375, 0.750], [0.875, 0.750, 0.125], [0.750, 0.875, 0.625], [0.125, 0.250, 0.875], [0.375, 0.750, 0.625], [0.250, 0.625, 0.875], [0.750, 0.375, 0.125], [0.875, 0.125, 0.250], [0.625, 0.250, 0.375], [0.125, 0.875, 0.750], [0.250, 0.125, 0.375]], "formation_enthalpy_0k_ev_per_atom": 1.22, "final_energy_ev_per_atom": -9.29, "crystal_system": "cubic", "magmom_total_mub_per_cell": 0.00}

---

9.
{"formula": "Tb8SmDy2", "functional": "PBE", "state": "relaxed", "lattice": [[5.639, 1.715, 0.000], [2.695, 8.618, 0.000], [1.347, 4.309, 8.156]], "species": ["Dy", "Dy", "Tb", "Tb", "Tb", "Tb", "Tb", "Tb", "Tb", "Tb", "Sm"], "fractional_positions": [[0.000, 0.691, 0.618], [0.000, 0.309, 0.382], [0.184, 0.662, 0.239], [0.184, 0.901, 0.761], [0.500, 0.794, 0.411], [0.816, 0.099, 0.239], [0.500, 0.206, 0.589], [0.816, 0.338, 0.761], [0.293, 0.432, 0.000], [0.707, 0.568, 0.000], [0.500, 0.000, 0.000]], "formation_enthalpy_0k_ev_per_atom": 0.15, "final_energy_ev_per_atom": -4.48, "relative_energy_kj_per_mol_atoms": 3.97, "crystal_system": "monoclinic", "magmom_total_mub_per_cell": 0.00}

---

10.
{"formula": "SmHo2Hg4", "functional": "PBE", "state": "relaxed", "lattice": [[6.018, 0.033, -2.097], [-2.990, 5.189, -2.178], [0.019, -0.033, 6.373]], "species": ["Hg", "Hg", "Hg", "Hg", "Ho", "Ho", "Sm"], "fractional_positions": [[0.500, 0.000, 0.000], [0.500, 0.500, 0.500], [0.000, 0.000, 0.500], [0.000, 0.500, 0.000], [0.500, 0.500, 0.000], [0.500, 0.000, 0.500], [0.000, 0.000, 0.000]], "formation_enthalpy_0k_ev_per_atom": -0.39, "final_energy_ev_per_atom": -2.55, "relative_energy_kj_per_mol_atoms": 0.00, "crystal_system": "tetragonal", "magmom_total_mub_per_cell": 0.00}

---

11.
{"formula": "NbMo3I", "functional": "PBE", "state": "relaxed", "lattice": [[4.873, 0.000, 0.000], [0.000, 4.873, 0.000], [0.000, 0.000, 4.873]], "species": ["Nb", "Mo", "Mo", "Mo", "I"], "fractional_positions": [[0.000, 0.000, 0.000], [0.000, 0.500, 0.000], [0.000, 0.000, 0.500], [0.500, 0.000, 0.000], [0.500, 0.500, 0.500]], "final_energy_ev_per_atom": -6.82, "relative_energy_kj_per_mol_atoms": 0.00, "crystal_system": "cubic", "e_form_raw_ev_per_fu": 10.023, "magmom_total_mub_per_cell": 1.98}

---

12.
{"formula": "LiZrS2", "functional": "PBE", "state": "relaxed", "lattice": [[3.590, 0.000, 0.000], [1.795, 3.109, 0.000], [1.795, 1.036, 6.579]], "species": ["Zr", "Li", "S", "S"], "fractional_positions": [[0.667, 0.667, 0.999], [0.498, 0.498, 0.506], [0.253, 0.253, 0.240], [0.081, 0.081, 0.756]], "final_energy_ev_per_atom": -6.18, "crystal_system": "trigonal", "e_form_raw_ev_per_fu": -5.986, "magmom_total_mub_per_cell": 0.00}